First-principles (GGA-PBE) data for a relaxed structure of Sr2LiZnN, as listed in Alexandria.

CIF file:
```
data_Sr2LiZnN
_symmetry_space_group_name_H-M 'P 4/m m m'
_symmetry_Int_Tables_number 123
_symmetry_space_group_name_Hall '-P 4 2'
_cell_length_a 5.532
_cell_length_b 5.532
_cell_length_c 4.345
_cell_angle_alpha 90.00
_cell_angle_beta 90.00
_cell_angle_gamma 90.00
loop_
_atom_site_label
_atom_site_fract_x
_atom_site_fract_y
_atom_site_fract_z
_atom_site_occupancy
Sr1 0.000 0.500 0.000 1
Li1 0.000 0.000 0.000 1
Zn1 0.000 0.000 0.500 1
N1 0.500 0.500 0.500 1
```

Calculated values
- electronic total energy (eV per atom) = -2.147
- polymorph energy (0 for the lowest one) (kcal/mol of atoms) = 25.38
- mass density (g cm⁻³) = 3.267
- magnetic moment (μB/f.u.) = 0.00



First-principles (GGA-PBE) data for a relaxed structure of Li2TaN, as listed in Alexandria.

CIF file:
```
data_Li2TaN
_symmetry_space_group_name_H-M 'I -4 2 d'
_symmetry_Int_Tables_number 122
_symmetry_space_group_name_Hall 'I -4 2bw'
_cell_length_a 7.094
_cell_length_b 7.094
_cell_length_c 4.102
_cell_angle_alpha 90.00
_cell_angle_beta 90.00
_cell_angle_gamma 90.00
loop_
_atom_site_label
_atom_site_fract_x
_atom_site_fract_y
_atom_site_fract_z
_atom_site_occupancy
Li1 0.150 0.250 0.125 1
Ta1 0.000 0.000 0.500 1
N1 0.000 0.000 0.000 1
```

Calculated values
- electronic total energy (eV per atom) = -5.958
- mass density (g cm⁻³) = 6.720
- magnetic moment (μB/f.u.) = 0.00



First-principles (GGA-PBE) data for a relaxed structure of LiTaN2, as listed in Alexandria.

CIF file:
```
data_LiTaN2
_symmetry_space_group_name_H-M 'P 1 21/c 1'
_symmetry_Int_Tables_number 14
_cell_length_a 4.197
_cell_length_b 18.622
_cell_length_c 4.194
_cell_angle_alpha 90.00
_cell_angle_beta 90.02
_cell_angle_gamma 90.00
loop_
_symmetry_equiv_pos_as_xyz
'x,y,z'
'-x,-y,-z'
'-x,y+1/2,-z+1/2'
'x,-y+1/2,z+1/2'
loop_
_atom_site_label
_atom_site_fract_x
_atom_site_fract_y
_atom_site_fract_z
_atom_site_occupancy
Li1 0.001 0.063 0.249 1
Li2 0.497 0.688 0.253 1
Ta1 0.012 0.187 0.733 1
Ta2 0.484 0.562 0.744 1
N1 0.001 0.199 0.251 1
N2 0.002 0.574 0.753 1
N3 0.498 0.051 0.248 1
N4 0.499 0.176 0.751 1
```

Calculated values
- electronic total energy (eV per atom) = -8.683
- polymorph energy (0 for the lowest one) (kcal/mol of atoms) = 0.00
- mass density (g cm⁻³) = 8.748
- magnetic moment (μB/f.u.) = 0.00